This record from Alexandria describes a geometry-optimized Hf2TlRh structure. The functional is GGA-PBE.

Energy relative to the elements   -218.1 meV/atom
Final energy   -7.624 eV per atom
Distance to the lowest polymorph of the same formula   10.83 kJ/mol of atoms

Cell and atoms, written as extended XYZ:
```
4
Lattice="-2.8613 1.3017 1.3557 -2.7762 -1.9712 0.3558 0.7535 -2.5285 8.3407" Properties=species:S:1:pos:R:3 pbc="T T T"
Tl -2.4420 -1.5990 5.0260
Hf -3.5520 -2.4957 7.8667
Hf -1.3320 -0.7023 2.1854
Rh 0.0000 0.0000 0.0000
```